(1)
DFT (PBE-GGA) results for EuNbC2 after structural relaxation.

Calculated values
Calculated total energy (eV per atom): -9.68
Crystal system: trigonal
ΔH_f (0 K) (eV/f.u.): 0.07
DOS at the Fermi energy (states/eV per cell): 5.85
SG: R-3m

Unit cell a=3.3217 b=3.3217 c=6.1421 alpha=74.31 beta=74.31 gamma=60.00
Last column: magnetic moment on the atom in μB.
Fractional coordinates of all 4 atoms:
C: 0.7358 0.7358 0.7927  -0.09
C: 0.2642 0.2642 0.2073  -0.09
Nb: 0.0000 0.0000 0.0000  -0.01
Eu: 0.5000 0.5000 0.5000  6.51

(2)
DFT (PBE-GGA) results for Eu2Ni4C after structural relaxation.

Calculated values
Calculated total energy (eV per atom): -7.57
Crystal system: tetragonal
ΔH_f (0 K) (eV/f.u.): -0.11
DOS at the Fermi energy (states/eV per cell): 18.72
SG: I4/mmm

Unit cell a=3.8631 b=3.8631 c=8.3436 alpha=76.61 beta=76.61 gamma=90.00
Last column: magnetic moment on the atom in μB.
Fractional coordinates of all 7 atoms:
Eu: 0.3345 0.3345 0.3309  6.76
Eu: 0.6655 0.6655 0.6691  6.76
Ni: 0.0000 0.5000 0.0000  0.00
Ni: 0.8829 0.8829 0.2341  -0.17
Ni: 0.1171 0.1171 0.7659  -0.17
Ni: 0.5000 0.0000 0.0000  0.00
C: 0.0000 0.0000 0.0000  0.00

(3)
DFT (PBE-GGA) results for EuNi2C after structural relaxation.

Calculated values
Calculated total energy (eV per atom): -7.48
Crystal system: trigonal
ΔH_f (0 K) (eV/f.u.): 1.14
DOS at the Fermi energy (states/eV per cell): 4.26
SG: R-3m

Unit cell a=3.5607 b=3.5607 c=5.5604 alpha=71.33 beta=71.33 gamma=60.00
Last column: magnetic moment on the atom in μB.
Fractional coordinates of all 4 atoms:
Ni: 0.8020 0.8020 0.5941  -0.07
Ni: 0.1980 0.1980 0.4059  -0.07
C: 0.5000 0.5000 0.5000  -0.04
Eu: 0.0000 0.0000 0.0000  6.84

(4)
DFT (PBE-GGA) results for EuNpC2 after structural relaxation.

Calculated values
Calculated total energy (eV per atom): -10.22
Crystal system: trigonal
ΔH_f (0 K) (eV/f.u.): 0.78
DOS at the Fermi energy (states/eV per cell): 5.58
SG: R-3m

Unit cell a=3.5977 b=3.5977 c=6.2052 alpha=73.15 beta=73.15 gamma=60.00
Last column: magnetic moment on the atom in μB.
Fractional coordinates of all 4 atoms:
Eu: 0.5000 0.5000 0.5000  6.82
C: 0.2743 0.2743 0.1770  -0.10
C: 0.7257 0.7257 0.8230  -0.10
Np: 0.0000 0.0000 0.0000  1.02

(5)
DFT (PBE-GGA) results for EuCO3 after structural relaxation.

Calculated values
Calculated total energy (eV per atom): -9.08
Crystal system: orthorhombic
DOS at the Fermi energy (states/eV per cell): 10.34
Raw formation energy (eV/atom): -2.202
SG: Pnma

Unit cell a=5.1483 b=6.0776 c=8.4913 alpha=90.00 beta=90.00 gamma=90.00
Last column: magnetic moment on the atom in μB.
Fractional coordinates of all 20 atoms:
Eu: 0.2500 0.7552 0.5843  6.87
Eu: 0.7500 0.7448 0.0843  6.87
Eu: 0.7500 0.2448 0.4157  6.87
Eu: 0.2500 0.2552 0.9157  6.87
O: 0.9690 0.5839 0.8192  -0.01
O: 0.9690 0.0839 0.6808  -0.01
O: 0.4690 0.4161 0.1808  -0.01
O: 0.5310 0.5839 0.8192  -0.01
O: 0.7500 0.0911 0.9107  -0.01
O: 0.5310 0.0839 0.6808  -0.01
O: 0.0310 0.9161 0.3192  -0.01
O: 0.2500 0.9090 0.0893  -0.01
O: 0.4690 0.9161 0.3192  -0.01
O: 0.2500 0.4090 0.4107  -0.01
O: 0.0310 0.4161 0.1808  -0.01
O: 0.7500 0.5910 0.5893  -0.01
C: 0.7500 0.5823 0.7422  0.02
C: 0.2500 0.9177 0.2422  0.02
C: 0.2500 0.4177 0.2578  0.02
C: 0.7500 0.0823 0.7578  0.02

(6)
DFT (PBE-GGA) results for EuOsC2 after structural relaxation.

Calculated values
Calculated total energy (eV per atom): -9.45
Crystal system: trigonal
ΔH_f (0 K) (eV/f.u.): 2.15
DOS at the Fermi energy (states/eV per cell): 2.23
SG: R-3m

Unit cell a=3.3089 b=3.3089 c=5.7472 alpha=73.27 beta=73.27 gamma=60.00
Last column: magnetic moment on the atom in μB.
Fractional coordinates of all 4 atoms:
Eu: 0.5000 0.5000 0.5000  6.53
C: 0.2709 0.2709 0.1874  -0.07
C: 0.7291 0.7291 0.8126  -0.07
Os: 0.0000 0.0000 0.0000  -0.06

(7)
DFT (PBE-GGA) results for EuOsC after structural relaxation.

Calculated values
Calculated total energy (eV per atom): -9.70
Crystal system: tetragonal
ΔH_f (0 K) (eV/f.u.): 1.62
DOS at the Fermi energy (states/eV per cell): 2.21
Energy relative to the lowest polymorph listed for this composition (eV per formula unit): 1.18
SG: I4mm

Unit cell a=2.8947 b=2.8947 c=5.7136 alpha=104.67 beta=104.67 gamma=90.00
Last column: magnetic moment on the atom in μB.
Fractional coordinates of all 3 atoms:
C: 0.7102 0.7102 0.4205  -0.03
Os: 0.2813 0.2813 0.5625  -0.11
Eu: 0.0085 0.0085 0.0170  6.93

(8)
DFT (PBE-GGA) results for EuOsC after structural relaxation.

Calculated values
Calculated total energy (eV per atom): -10.10
Crystal system: hexagonal
ΔH_f (0 K) (eV/f.u.): 0.44
DOS at the Fermi energy (states/eV per cell): 2.42
Energy relative to the lowest polymorph listed for this composition (eV per formula unit): 0.00
SG: P-6m2

Unit cell a=4.9112 b=3.4743 c=3.4743 alpha=120.00 beta=90.00 gamma=90.00
Last column: magnetic moment on the atom in μB.
Fractional coordinates of all 3 atoms:
Eu: 0.6666 0.3333 0.6667  6.94
Os: 0.1667 0.0000 0.0000  -0.03
C: 0.1667 0.6667 0.3333  -0.01

- The lowest calculated total energy belongs to which entry?
  EuNpC2

- DOS at the Fermi energy of number 3 (EuNi2C)?
  4.26 states/eV per cell

- The highest DOS at the Fermi energy belongs to which entry?
  Eu2Ni4C